The following is a PBE calculation of a geometry-optimized SrYCu2S4 structure, from Alexandria.

Its crystal system is tetragonal. The calculation puts the density of states at the Fermi level at 6.44 states/eV/cell. The uncorrected formation energy comes out at -1.15 eV per atom.

It has space group I-42m (No. 121), with a = 6.614 Å, b = 6.614 Å, c = 7.815 Å, α = 90.00°, β = 90.00° and γ = 90.00°. The asymmetric unit holds Sr at (0.000, 0.000, 0.000), Y at (0.000, 0.000, 0.500), Cu at (0.000, 0.500, 0.250) and S at (0.223, 0.223, 0.713).


The following is a PBE calculation of a geometry-optimized ZrTl3H structure, from Alexandria.

Its crystal system is cubic. The calculation puts the calculated total energy at -17.41 eV/f.u. The calculation puts the density of states at the Fermi level at 2.61 states/eV/cell.

It has space group Pm-3m (No. 221), with a = 4.702 Å, b = 4.702 Å, c = 4.702 Å, α = 90.00°, β = 90.00° and γ = 90.00°. The asymmetric unit holds Zr at (0.000, 0.000, 0.000), Tl at (0.000, 0.500, 0.500) and H at (0.500, 0.500, 0.500).


The following is a PBE calculation of a geometry-optimized SrTlMo2 structure, from Alexandria.

Its crystal system is monoclinic. The calculation puts the density of states at the Fermi level at 8.05 states/eV/cell. The value obtained for the formation energy is 0.61 eV/atom.

It has space group Cm (No. 8), with a = 8.481 Å, b = 3.199 Å, c = 7.309 Å, α = 90.00°, β = 97.01° and γ = 90.00°. The asymmetric unit holds Sr at (0.000, 0.000, 0.000), Tl at (0.243, 0.000, 0.666), Mo at (0.269, 0.500, 0.310) and Mo at (0.496, 0.000, 0.431).


The following is a PBE calculation of a geometry-optimized NaGa2CSe structure, from Alexandria.

Its crystal system is tetragonal. The calculation puts the density of states at the Fermi level at 3.71 states/eV/cell. The uncorrected formation energy comes out at 1.68 eV per atom.

It has space group P4/mmm (No. 123), with a = 5.588 Å, b = 5.588 Å, c = 4.920 Å, α = 90.00°, β = 90.00° and γ = 90.00°. The asymmetric unit holds Na at (0.000, 0.000, 0.000), Ga at (0.000, 0.500, 0.000), C at (0.500, 0.500, 0.500) and Se at (0.000, 0.000, 0.500).